1.
# Ta2TcAu2 | Alexandria via LeMat-Bulk | SCAN | single point on PBEsol structure
data_Ta2TcAu2
_chemical_formula_sum 'Ta4 Tc2 Au4'
_symmetry_space_group_name_H-M 'I 4/m m m'
_symmetry_Int_Tables_number 139
_symmetry_space_group_name_Hall '-I 4 2'
_cell_length_a 3.557
_cell_length_b 3.557
_cell_length_c 14.427
_cell_angle_alpha 90.00
_cell_angle_beta 90.00
_cell_angle_gamma 90.00
loop_
_atom_site_label
_atom_site_fract_x
_atom_site_fract_y
_atom_site_fract_z
Ta1 0.000 0.000 0.091
Tc1 0.000 0.000 0.500
Au1 0.000 0.500 0.250
# Total magnetic moment = 0.00 Bohr magnetons per cell
# Formation enthalpy at 0 K = 2.46 eV/f.u.

2.
# TaTc2Au | Alexandria via LeMat-Bulk | SCAN | single point on PBEsol structure
data_TaTc2Au
_chemical_formula_sum 'Ta1 Tc2 Au1'
_symmetry_space_group_name_H-M 'P 4/m m m'
_symmetry_Int_Tables_number 123
_symmetry_space_group_name_Hall '-P 4 2'
_cell_length_a 3.955
_cell_length_b 3.955
_cell_length_c 3.893
_cell_angle_alpha 90.00
_cell_angle_beta 90.00
_cell_angle_gamma 90.00
loop_
_atom_site_label
_atom_site_fract_x
_atom_site_fract_y
_atom_site_fract_z
Ta1 0.000 0.000 0.000
Tc1 0.000 0.500 0.500
Au1 0.500 0.500 0.000
# Total magnetic moment = 0.00 Bohr magnetons per cell
# Energy above the lowest structure with this stoichiometry = 0.0000 eV per atom
# Formation enthalpy at 0 K = -0.69 eV/f.u.

3.
# TaTe2Au | Alexandria via LeMat-Bulk | SCAN | single point on PBEsol structure
data_TaTe2Au
_chemical_formula_sum 'Ta2 Te4 Au2'
_symmetry_space_group_name_H-M 'I -4 m 2'
_symmetry_Int_Tables_number 119
_symmetry_space_group_name_Hall 'I -4 -2'
_cell_length_a 4.121
_cell_length_b 4.121
_cell_length_c 9.909
_cell_angle_alpha 90.00
_cell_angle_beta 90.00
_cell_angle_gamma 90.00
loop_
_atom_site_label
_atom_site_fract_x
_atom_site_fract_y
_atom_site_fract_z
Ta1 0.000 0.000 0.000
Te1 0.000 0.000 0.500
Te2 0.000 0.500 0.250
Au1 0.000 0.500 0.750
# Total magnetic moment = 0.01 Bohr magnetons per cell
# Energy above the lowest structure with this stoichiometry = 0.4547 eV per atom
# Formation energy from raw total energies = 0.537 eV per atom

4.
# TaTe2Au | Alexandria via LeMat-Bulk | SCAN | single point on PBEsol structure
data_TaTe2Au
_chemical_formula_sum 'Ta1 Te2 Au1'
_symmetry_space_group_name_H-M 'P 4/m m m'
_symmetry_Int_Tables_number 123
_symmetry_space_group_name_Hall '-P 4 2'
_cell_length_a 3.504
_cell_length_b 3.504
_cell_length_c 6.726
_cell_angle_alpha 90.00
_cell_angle_beta 90.00
_cell_angle_gamma 90.00
loop_
_atom_site_label
_atom_site_fract_x
_atom_site_fract_y
_atom_site_fract_z
Ta1 0.000 0.000 0.000
Te1 0.500 0.500 0.234
Au1 0.000 0.000 0.500
# Total magnetic moment = 0.00 Bohr magnetons per cell
# Energy above the lowest structure with this stoichiometry = 0.0000 eV per atom
# Formation energy from raw total energies = 0.082 eV per atom

5.
# Ta2TeAu | Alexandria via LeMat-Bulk | SCAN | single point on PBEsol structure
data_Ta2TeAu
_chemical_formula_sum 'Ta4 Te2 Au2'
_symmetry_space_group_name_H-M 'C 1 2/m 1'
_symmetry_Int_Tables_number 12
_symmetry_space_group_name_Hall '-C 2y'
_cell_length_a 9.356
_cell_length_b 3.333
_cell_length_c 4.912
_cell_angle_alpha 90.00
_cell_angle_beta 99.75
_cell_angle_gamma 90.00
loop_
_atom_site_label
_atom_site_fract_x
_atom_site_fract_y
_atom_site_fract_z
Ta1 0.244 0.000 0.228
Te1 0.000 0.000 0.500
Au1 0.000 0.500 0.000
# Total magnetic moment = 0.00 Bohr magnetons per cell
# Formation energy from raw total energies = 0.166 eV per atom

6.
# TaTeAu2 | Alexandria via LeMat-Bulk | SCAN | single point on PBEsol structure
data_TaTeAu2
_chemical_formula_sum 'Ta1 Te1 Au2'
_symmetry_space_group_name_H-M 'P 4/m m m'
_symmetry_Int_Tables_number 123
_symmetry_space_group_name_Hall '-P 4 2'
_cell_length_a 4.055
_cell_length_b 4.055
_cell_length_c 4.553
_cell_angle_alpha 90.00
_cell_angle_beta 90.00
_cell_angle_gamma 90.00
loop_
_atom_site_label
_atom_site_fract_x
_atom_site_fract_y
_atom_site_fract_z
Ta1 0.000 0.000 0.000
Te1 0.500 0.500 0.000
Au1 0.000 0.500 0.500
# Total magnetic moment = 0.00 Bohr magnetons per cell
# Formation energy from raw total energies = 0.386 eV per atom

7.
# TaTe2Au | Alexandria via LeMat-Bulk | SCAN | single point on PBEsol structure
data_TaTe2Au
_chemical_formula_sum 'Ta1 Te2 Au1'
_symmetry_space_group_name_H-M 'P m m m'
_symmetry_Int_Tables_number 47
_symmetry_space_group_name_Hall '-P 2 2'
_cell_length_a 3.406
_cell_length_b 4.683
_cell_length_c 5.268
_cell_angle_alpha 90.00
_cell_angle_beta 90.00
_cell_angle_gamma 90.00
loop_
_atom_site_label
_atom_site_fract_x
_atom_site_fract_y
_atom_site_fract_z
Ta1 0.000 0.000 0.000
Te1 0.000 0.500 0.500
Te2 0.500 0.500 0.000
Au1 0.500 0.000 0.500
# Total magnetic moment = 0.00 Bohr magnetons per cell
# Energy above the lowest structure with this stoichiometry = 0.5010 eV per atom
# Formation energy from raw total energies = 0.583 eV per atom

8.
# Ta2TeAu | Alexandria via LeMat-Bulk | SCAN | single point on PBEsol structure
data_Ta2TeAu
_chemical_formula_sum 'Ta4 Te2 Au2'
_symmetry_space_group_name_H-M 'C m m m'
_symmetry_Int_Tables_number 65
_symmetry_space_group_name_Hall '-C 2 2'
_cell_length_a 6.770
_cell_length_b 6.778
_cell_length_c 3.149
_cell_angle_alpha 90.00
_cell_angle_beta 90.00
_cell_angle_gamma 90.00
loop_
_atom_site_label
_atom_site_fract_x
_atom_site_fract_y
_atom_site_fract_z
Ta1 0.250 0.250 0.000
Te1 0.000 0.000 0.500
Au1 0.000 0.500 0.500
# Total magnetic moment = 0.00 Bohr magnetons per cell
# Formation energy from raw total energies = 0.154 eV per atom

9.
# TaTl2Au | Alexandria via LeMat-Bulk | SCAN | single point on PBEsol structure
data_TaTl2Au
_chemical_formula_sum 'Ta2 Tl4 Au2'
_symmetry_space_group_name_H-M 'I 4/m m m'
_symmetry_Int_Tables_number 139
_symmetry_space_group_name_Hall '-I 4 2'
_cell_length_a 4.134
_cell_length_b 4.134
_cell_length_c 9.584
_cell_angle_alpha 90.00
_cell_angle_beta 90.00
_cell_angle_gamma 90.00
loop_
_atom_site_label
_atom_site_fract_x
_atom_site_fract_y
_atom_site_fract_z
Ta1 0.000 0.000 0.000
Tl1 0.000 0.500 0.250
Au1 0.000 0.000 0.500
# Total magnetic moment = 0.00 Bohr magnetons per cell
# Energy above the lowest structure with this stoichiometry = 0.1491 eV per atom
# Formation enthalpy at 0 K = 2.47 eV/f.u.

10.
# TaTl2Au | Alexandria via LeMat-Bulk | SCAN | single point on PBEsol structure
data_TaTl2Au
_chemical_formula_sum 'Ta1 Tl2 Au1'
_symmetry_space_group_name_H-M 'P m m m'
_symmetry_Int_Tables_number 47
_symmetry_space_group_name_Hall '-P 2 2'
_cell_length_a 3.011
_cell_length_b 5.218
_cell_length_c 5.309
_cell_angle_alpha 90.00
_cell_angle_beta 90.00
_cell_angle_gamma 90.00
loop_
_atom_site_label
_atom_site_fract_x
_atom_site_fract_y
_atom_site_fract_z
Ta1 0.000 0.000 0.000
Tl1 0.000 0.500 0.500
Tl2 0.500 0.500 0.000
Au1 0.500 0.000 0.500
# Total magnetic moment = 0.00 Bohr magnetons per cell
# Energy above the lowest structure with this stoichiometry = 0.0000 eV per atom
# Formation enthalpy at 0 K = 1.87 eV/f.u.

11.
# Ta2TlAu | Alexandria via LeMat-Bulk | SCAN | single point on PBEsol structure
data_Ta2TlAu
_chemical_formula_sum 'Ta2 Tl1 Au1'
_symmetry_space_group_name_H-M 'P 4 m m'
_symmetry_Int_Tables_number 99
_symmetry_space_group_name_Hall 'P 4 -2'
_cell_length_a 2.901
_cell_length_b 2.901
_cell_length_c 8.922
_cell_angle_alpha 90.00
_cell_angle_beta 90.00
_cell_angle_gamma 90.00
loop_
_atom_site_label
_atom_site_fract_x
_atom_site_fract_y
_atom_site_fract_z
Ta1 0.000 0.000 0.000
Ta2 0.500 0.500 0.244
Tl1 0.000 0.000 0.509
Au1 0.500 0.500 0.777
# Total magnetic moment = 0.00 Bohr magnetons per cell
# Formation enthalpy at 0 K = 0.63 eV/f.u.

12.
# TaTlAu2 | Alexandria via LeMat-Bulk | SCAN | single point on PBEsol structure
data_TaTlAu2
_chemical_formula_sum 'Ta3 Tl3 Au6'
_symmetry_space_group_name_H-M 'R -3 m'
_symmetry_Int_Tables_number 166
_symmetry_space_group_name_Hall '-R 3 2"'
_cell_length_a 3.0322
_cell_length_b 3.0322
_cell_length_c 28.8388
_cell_angle_alpha 90.00
_cell_angle_beta 90.00
_cell_angle_gamma 120.00
loop_
_atom_site_label
_atom_site_fract_x
_atom_site_fract_y
_atom_site_fract_z
Ta1 0.0000 0.0000 0.0000
Tl1 0.0000 0.0000 0.5000
Au1 0.0000 0.0000 0.2566
# Total magnetic moment = 0.00 Bohr magnetons per cell
# Formation enthalpy at 0 K = 0.49 eV/f.u.

13.
# TaTl2Au | Alexandria via LeMat-Bulk | SCAN | single point on PBEsol structure
data_TaTl2Au
_chemical_formula_sum 'Ta1 Tl2 Au1'
_symmetry_space_group_name_H-M 'P m m m'
_symmetry_Int_Tables_number 47
_symmetry_space_group_name_Hall '-P 2 2'
_cell_length_a 3.073
_cell_length_b 4.046
_cell_length_c 6.474
_cell_angle_alpha 90.00
_cell_angle_beta 90.00
_cell_angle_gamma 90.00
loop_
_atom_site_label
_atom_site_fract_x
_atom_site_fract_y
_atom_site_fract_z
Ta1 0.000 0.000 0.000
Tl1 0.500 0.500 0.248
Au1 0.000 0.000 0.500
# Total magnetic moment = 0.00 Bohr magnetons per cell
# Energy above the lowest structure with this stoichiometry = 0.1067 eV per atom
# Formation enthalpy at 0 K = 2.30 eV/f.u.

14.
# TaW3Au | Alexandria via LeMat-Bulk | SCAN | single point on PBEsol structure
data_TaW3Au
_chemical_formula_sum 'Ta1 W3 Au1'
_symmetry_space_group_name_H-M 'P m -3 m'
_symmetry_Int_Tables_number 221
_symmetry_space_group_name_Hall '-P 4 2 3'
_cell_length_a 4.723
_cell_length_b 4.723
_cell_length_c 4.723
_cell_angle_alpha 90.00
_cell_angle_beta 90.00
_cell_angle_gamma 90.00
loop_
_atom_site_label
_atom_site_fract_x
_atom_site_fract_y
_atom_site_fract_z
Ta1 0.000 0.000 0.000
W1 0.000 0.500 0.500
Au1 0.500 0.500 0.500
# Total magnetic moment = 0.00 Bohr magnetons per cell
# Formation enthalpy at 0 K = 13.41 eV/f.u.